Material: SrPrH4
Method: DFT, PBE
State: relaxed

Summary:
- DFT total energy: -3.872 eV per atom
- Theoretical density: 4.3 g cm⁻³

Cell: 3.9719 3.9719 5.7449 Å, 90.00 90.00 90.00°
Last column: nearest neighbours and their distance in Å.
Positions (direct):
Sr (0.0000, 0.0000, 0.0000)  8 H 2.50
Pr (0.5000, 0.5000, 0.5000)  8 H 2.41
H (0.0000, 0.5000, 0.2638)  2 Pr 2.41, 2 Sr 2.50
H (0.0000, 0.5000, 0.7362)  2 Pr 2.41, 2 Sr 2.50
H (0.5000, 0.0000, 0.2638)  2 Pr 2.41, 2 Sr 2.50
H (0.5000, 0.0000, 0.7362)  2 Pr 2.41, 2 Sr 2.50

Material: Ti4Cu2Pd5
Method: DFT, PBE
State: relaxed

Summary:
- Theoretical density: 8.1 g cm⁻³
- DFT formation energy: -0.19 eV per atom

Cell: 9.4209 9.4209 6.8456 Å, 96.31 96.31 16.73°
Last column: nearest neighbours and their distance in Å.
Positions (direct):
Ti (0.0526, 0.0526, 0.3414)  5 Pd 2.51-2.79, 1 Cu 2.65, 2 Ti 2.74
Ti (0.2858, 0.2858, 0.1920)  3 Cu 2.67-2.71, 5 Pd 2.69-2.83, 2 Ti 2.74
Ti (0.7142, 0.7142, 0.8080)  3 Cu 2.67-2.71, 5 Pd 2.69-2.83, 2 Ti 2.74
Ti (0.9474, 0.9474, 0.6586)  5 Pd 2.51-2.79, 1 Cu 2.65, 2 Ti 2.74
Cu (0.1447, 0.1447, 0.0729)  2 Pd 2.57-2.58, 4 Ti 2.65-2.71, 2 Cu 2.74
Cu (0.8553, 0.8553, 0.9271)  2 Pd 2.57-2.58, 4 Ti 2.65-2.71, 2 Cu 2.74
Pd (0.0838, 0.0838, 0.7175)  4 Ti 2.53-2.80, 1 Cu 2.57, 3 Pd 2.74-2.80
Pd (0.1858, 0.1858, 0.4458)  2 Ti 2.51-2.69, 1 Cu 2.58, 5 Pd 2.74-2.80
Pd (0.5000, 0.5000, 0.0000)  6 Pd 2.74-2.96, 4 Ti 2.79, 4 Cu 3.02
Pd (0.8142, 0.8142, 0.5542)  2 Ti 2.51-2.69, 1 Cu 2.58, 5 Pd 2.74-2.80
Pd (0.9162, 0.9162, 0.2825)  4 Ti 2.53-2.80, 1 Cu 2.57, 3 Pd 2.74-2.80

Material: Sr2In2AgPd5
Method: DFT, PBE
State: relaxed

Summary:
- Theoretical density: 8.1 g cm⁻³
- DFT formation energy: -0.42 eV per atom

Cell: 10.7923 10.7923 3.6587 Å, 90.00 90.00 90.00°
Last column: nearest neighbours and their distance in Å.
Positions (direct):
Sr (0.1725, 0.3275, 0.0000)  3 In 3.04-3.28, 2 Pd 3.21
Sr (0.3275, 0.8275, 0.0000)  3 In 3.04-3.28, 2 Pd 3.21
Sr (0.6725, 0.1725, 0.0000)  3 In 3.04-3.28, 2 Pd 3.21
Sr (0.8275, 0.6725, 0.0000)  3 In 3.04-3.28, 2 Pd 3.21
In (0.1286, 0.6286, 0.0000)  6 Pd 2.68-2.76
In (0.3714, 0.1286, 0.0000)  6 Pd 2.68-2.76
In (0.6286, 0.8714, 0.0000)  6 Pd 2.68-2.76
In (0.8714, 0.3714, 0.0000)  6 Pd 2.68-2.76
Ag (0.0000, 0.0000, 0.0000)  8 Pd 2.85
Ag (0.5000, 0.5000, 0.0000)  8 Pd 2.85
Pd (0.0000, 0.5000, 0.5000)  4 In 2.68
Pd (0.0595, 0.8069, 0.5000)  2 In 2.76, 2 Ag 2.85, 2 Pd 3.08
Pd (0.1931, 0.0595, 0.5000)  2 In 2.76, 2 Ag 2.85, 2 Pd 3.08
Pd (0.3069, 0.5595, 0.5000)  2 In 2.76, 2 Ag 2.85, 2 Pd 3.08
Pd (0.4405, 0.3069, 0.5000)  2 In 2.76, 2 Ag 2.85, 2 Pd 3.08
Pd (0.5000, 0.0000, 0.5000)  4 In 2.68
Pd (0.5595, 0.6931, 0.5000)  2 In 2.76, 2 Ag 2.85, 2 Pd 3.08
Pd (0.6931, 0.4405, 0.5000)  2 In 2.76, 2 Ag 2.85, 2 Pd 3.08
Pd (0.8069, 0.9405, 0.5000)  2 In 2.76, 2 Ag 2.85, 2 Pd 3.08
Pd (0.9405, 0.1931, 0.5000)  2 In 2.76, 2 Ag 2.85, 2 Pd 3.08

Material: PrSmSnHg
Method: DFT, PBE
State: relaxed

Summary:
- Theoretical density: 8.9 g cm⁻³
- Excess energy over the best structure of this formula in the dataset: 0.000 eV/atom
- DFT formation energy: -0.60 eV per atom

Cell: 5.4391 5.4391 5.4391 Å, 60.00 60.00 60.00°
Last column: nearest neighbours and their distance in Å.
Positions (direct):
Pr (0.0000, 0.0000, 0.0000)  4 Hg 3.33, 4 Sn 3.33
Sm (0.5000, 0.5000, 0.5000)  4 Hg 3.33, 4 Sn 3.33
Sn (0.2500, 0.2500, 0.2500)  4 Pr 3.33, 4 Sm 3.33
Hg (0.7500, 0.7500, 0.7500)  4 Pr 3.33, 4 Sm 3.33

Material: YZrSCl2
Method: DFT, PBE
State: relaxed

Summary:
- Energy relative to the elements, uncorrected: -3.681 eV per formula unit
- Theoretical density: 3.3 g cm⁻³
- Excess energy over the best structure of this formula in the dataset: 0.159 eV/atom

Cell: 5.1645 5.1645 5.3166 Å, 90.00 90.00 90.00°
Last column: nearest neighbours and their distance in Å.
Positions (direct):
Y (0.0000, 0.0000, 0.0000)  4 Cl 2.58, 2 S 2.66
Zr (0.5000, 0.5000, 0.5000)  4 S 3.65, 8 Cl 3.71
S (0.0000, 0.0000, 0.5000)  2 Y 2.66
Cl (0.0000, 0.5000, 0.0000)  2 Y 2.58
Cl (0.5000, 0.0000, 0.0000)  2 Y 2.58

Material: Ho12MgCo6
Method: DFT, PBE
State: relaxed

Summary:
- Theoretical density: 8.7 g cm⁻³
- DFT formation energy: -0.20 eV per atom

Cell: 8.3530 8.3530 8.3530 Å, 109.47 109.47 109.47°
Last column: nearest neighbours and their distance in Å.
Positions (direct):
Ho (0.1104, 0.8054, 0.3049)  3 Co 2.64-2.87
Ho (0.1946, 0.3049, 0.4995)  3 Co 2.64-2.87
Ho (0.1946, 0.6951, 0.8896)  3 Co 2.64-2.87
Ho (0.3049, 0.1104, 0.8054)  3 Co 2.64-2.87
Ho (0.3049, 0.4995, 0.1946)  3 Co 2.64-2.87
Ho (0.4995, 0.1946, 0.3049)  3 Co 2.64-2.87
Ho (0.5005, 0.8054, 0.6951)  3 Co 2.64-2.87
Ho (0.6951, 0.5005, 0.8054)  3 Co 2.64-2.87
Ho (0.6951, 0.8896, 0.1946)  3 Co 2.64-2.87
Ho (0.8054, 0.3049, 0.1104)  3 Co 2.64-2.87
Ho (0.8054, 0.6951, 0.5005)  3 Co 2.64-2.87
Ho (0.8896, 0.1946, 0.6951)  3 Co 2.64-2.87
Mg (0.0000, 0.0000, 0.0000)  12 Ho 3.49
Co (0.1133, 0.6133, 0.5000)  1 Co 2.19
Co (0.3867, 0.5000, 0.8867)  1 Co 2.19
Co (0.5000, 0.1133, 0.6133)  1 Co 2.19
Co (0.5000, 0.8867, 0.3867)  1 Co 2.19
Co (0.6133, 0.5000, 0.1133)  1 Co 2.19
Co (0.8867, 0.3867, 0.5000)  1 Co 2.19

Material: MnReIN2
Method: DFT, PBE
State: relaxed

Summary:
- Energy relative to the elements, uncorrected: 3.872 eV per formula unit
- Theoretical density: 7.5 g cm⁻³
- Excess energy over the best structure of this formula in the dataset: 0.000 eV/atom

Cell: 3.9018 3.9018 5.7710 Å, 90.00 90.00 90.00°
Last column: nearest neighbours and their distance in Å.
Positions (direct):
Mn (0.0000, 0.0000, 0.0000)  4 I 2.76
Re (0.5000, 0.5000, 0.5000)  4 N 1.95
I (0.5000, 0.5000, 0.0000)  4 Mn 2.76, 2 Re 2.89
N (0.0000, 0.5000, 0.5000)  2 Re 1.95
N (0.5000, 0.0000, 0.5000)  2 Re 1.95

Material: CrHS2
Method: DFT, PBE
State: relaxed

Summary:
- Theoretical density: 2.7 g cm⁻³
- Excess energy over the best structure of this formula in the dataset: 0.033 eV/atom

Cell: 2.9954 5.4739 8.8433 Å, 88.21 88.28 89.99°
Last column: nearest neighbours and their distance in Å.
Positions (direct):
Cr (0.0000, 0.0000, 0.0000)  6 S 2.26-2.37
Cr (0.4985, 0.6042, 0.0182)  6 S 2.26-2.37
H (0.5535, 0.3173, 0.4806)  1 H 0.75
H (0.6644, 0.3711, 0.5471)  1 H 0.75
S (0.0118, 0.3841, 0.8688)  3 Cr 2.35-2.37
S (0.4864, 0.2201, 0.1495)  3 Cr 2.35-2.37
S (0.5156, 0.8872, 0.8245)  3 Cr 2.26-2.27
S (0.9830, 0.7171, 0.1937)  3 Cr 2.26-2.27